Below is a geometry-optimized LaBeSi structure, with properties calculated at the GGA-PBE level.

Cell lengths 3.983, 4.397, 6.945 Å; angles 90.00, 90.00, 90.00 degrees
Fractional positions:
La  0.000  0.000  0.000
La  0.500  0.000  0.500
Be  0.000  0.500  0.335
Be  0.000  0.500  0.665
Si  0.500  0.500  0.175
Si  0.500  0.500  0.825

Output
- formation energy without anion corrections (meV/atom) = -510
- SG = No. 47